Compound: La3Zn
Source: Alexandria
Functional: PBEsol
Structure: relaxed

Properties
**Energy**: -4.480 eV per atom

a = 4.794 Å, b = 4.794 Å, c = 19.595 Å
α = 90.00°, β = 90.00°, γ = 90.00°
Space group I4/mmm (No. 139)
Symmetry-distinct sites (fractional):
La1 0.000 0.000 0.128 [4 per cell]
La2 0.000 0.500 0.000 [4 per cell]
La3 0.000 0.500 0.250 [4 per cell]
Zn1 0.000 0.000 0.374 [4 per cell]


Compound: LaZn
Source: Alexandria
Functional: PBEsol
Structure: relaxed

Properties
**Energy**: -3.689 eV per atom

a = 8.668 Å, b = 4.373 Å, c = 5.452 Å
α = 90.00°, β = 90.00°, γ = 90.00°
Space group Pnma (No. 62)
Symmetry-distinct sites (fractional):
La1 0.180 0.250 0.089 [4 per cell]
Zn1 0.023 0.250 0.601 [4 per cell]


Compound: La5Zn
Source: Alexandria
Functional: PBEsol
Structure: relaxed

Properties
**ΔE to the lowest computed polymorph**: 0.0148 eV/atom
**Energy**: -4.796 eV per atom

a = 12.292 Å, b = 3.725 Å, c = 8.791 Å
α = 90.00°, β = 111.57°, γ = 90.00°
Space group Cm (No. 8)
Symmetry-distinct sites (fractional):
La1 0.000 0.000 0.000 [2 per cell]
La2 0.020 0.000 0.437 [2 per cell]
La3 0.161 0.500 0.793 [2 per cell]
La4 0.304 0.000 0.149 [2 per cell]
La5 0.327 0.000 0.592 [2 per cell]
Zn1 0.165 0.500 0.297 [2 per cell]


Compound: LaZn2
Source: Alexandria
Functional: PBEsol
Structure: relaxed

Properties
**Energy**: -3.116 eV per atom

a = 4.242 Å, b = 4.242 Å, c = 15.121 Å
α = 90.00°, β = 90.00°, γ = 90.00°
Space group I4_1/amd (No. 141, origin choice 2)
Symmetry-distinct sites (fractional):
La1 0.000 0.250 0.375 [4 per cell]
Zn1 0.000 0.250 0.792 [8 per cell]


Compound: La2Zn
Source: Alexandria
Functional: PBEsol
Structure: relaxed

Properties
**Energy**: -4.215 eV per atom

a = 13.944 Å, b = 13.944 Å, c = 13.944 Å
α = 90.00°, β = 90.00°, γ = 90.00°
Space group Fd-3m (No. 227, origin choice 2)
Symmetry-distinct sites (fractional):
La1 0.000 0.000 0.000 [16 per cell]
La2 0.063 0.375 0.875 [48 per cell]
Zn1 0.037 0.037 0.213 [32 per cell]


Compound: LaZn3
Source: Alexandria
Functional: PBEsol
Structure: relaxed

Properties
**Energy**: -2.794 eV per atom

a = 6.5999 Å, b = 6.5999 Å, c = 4.2957 Å
α = 90.00°, β = 90.00°, γ = 120.00°
Space group P6_3/mmc (No. 194)
Symmetry-distinct sites (fractional):
La1 0.3333 0.6667 0.2500 [2 per cell]
Zn1 0.1373 0.2746 0.7500 [6 per cell]


Compound: La2Zn3
Source: Alexandria
Functional: PBEsol
Structure: relaxed

Properties
**Energy**: -3.326 eV per atom

a = 4.8207 Å, b = 4.8207 Å, c = 16.9729 Å
α = 90.00°, β = 90.00°, γ = 120.00°
Space group R-3m (No. 166, hexagonal axes)
Symmetry-distinct sites (fractional):
La1 0.0000 0.0000 0.0893 [6 per cell]
Zn1 0.0000 0.0000 0.3289 [6 per cell]
Zn2 0.0000 0.0000 0.5000 [3 per cell]


Compound: LaZn11
Source: Alexandria
Functional: PBEsol
Structure: relaxed

Properties
**Energy**: -2.140 eV per atom

a = 10.471 Å, b = 10.471 Å, c = 6.749 Å
α = 90.00°, β = 90.00°, γ = 90.00°
Space group I4_1/amd (No. 141, origin choice 2)
Symmetry-distinct sites (fractional):
La1 0.000 0.250 0.375 [4 per cell]
Zn1 0.000 0.000 0.000 [8 per cell]
Zn2 0.000 0.250 0.875 [4 per cell]
Zn3 0.122 0.044 0.679 [32 per cell]


Number 1: DFT formation energy -0.075 eV per atom. Number 2: DFT formation energy -0.225 eV per atom. Number 3: DFT formation energy -0.077 eV per atom. Number 4: DFT formation energy -0.279 eV per atom. Number 5: DFT formation energy -0.123 eV per atom. Number 6: DFT formation energy -0.271 eV per atom. Number 7: DFT formation energy -0.239 eV per atom. Number 8: DFT formation energy -0.245 eV per atom.